# 1
Computed, not measured: Y2AgMo after structural relaxation at the PBE level of DFT.

The final energy is -6.581 eV/atom. For the volume, the calculation gives 92.2 Å³/cell. The space group is P4/mmm. The value obtained for the magnetization is 0.0 Bohr magnetons per cell. For the energy above the most stable polymorph in this dataset, the calculation gives 0 meV per atom. For the formation energy from the elements, the calculation gives 6.9 kJ/mol of atoms.

abc: 3.5238 3.5238 7.4285
angles: 90.00 90.00 89.97
With the nearest neighbours (Å) after each atom.
Fractional coordinates of all 4 atoms:
1 Ag 0.5000 0.5000 0.2500  8 Y 3.19, 4 Ag 3.52
2 Mo 0.5000 0.5000 0.7500  8 Y 3.03
3 Y 0.0000 0.0000 0.9824  4 Mo 3.03, 4 Ag 3.19
4 Y 0.0000 0.0000 0.5176  4 Mo 3.03, 4 Ag 3.19

=====

# 2
Computed, not measured: Y2AgMo after structural relaxation at the PBE level of DFT.

The final energy is -6.258 eV/atom. For the volume, the calculation gives 92.8 Å³/cell. The space group is C2/m. The value obtained for the magnetization is 0.0 Bohr magnetons per cell. For the energy above the most stable polymorph in this dataset, the calculation gives 323 meV per atom. For the formation energy from the elements, the calculation gives 38.1 kJ/mol of atoms.

abc: 5.0307 5.0307 6.1739
angles: 80.45 80.45 37.11
With the nearest neighbours (Å) after each atom.
Fractional coordinates of all 4 atoms:
1 Ag 0.7500 0.7500 0.7500  6 Y 3.08-3.10, 2 Ag 3.20
2 Mo 0.2500 0.2500 0.2500  6 Y 3.01-3.04, 2 Mo 3.20
3 Y 0.9969 0.9969 0.0110  3 Mo 3.01-3.04, 3 Ag 3.08-3.10, 4 Y 3.20-3.37
4 Y 0.5031 0.5031 0.4890  3 Mo 3.01-3.04, 3 Ag 3.08-3.10, 4 Y 3.20-3.37

=====

# 3
Computed, not measured: Y2AgMo after structural relaxation at the PBE level of DFT.

The final energy is -6.359 eV/atom. For the volume, the calculation gives 90.5 Å³/cell. The space group is I-4m2. The value obtained for the magnetization is 0.0 Bohr magnetons per cell. For the energy above the most stable polymorph in this dataset, the calculation gives 222 meV per atom. For the formation energy from the elements, the calculation gives 28.3 kJ/mol of atoms.

abc: 5.7499 5.7499 5.7499
angles: 136.00 136.00 63.98
With the nearest neighbours (Å) after each atom.
Fractional coordinates of all 4 atoms:
1 Ag 0.5000 0.5000 0.0000  8 Y 3.05-3.25, 4 Mo 3.25
2 Mo 0.7500 0.2500 0.5000  8 Y 3.05-3.25, 4 Ag 3.25
3 Y 0.0000 0.0000 0.0000  4 Ag 3.05, 4 Mo 3.25, 4 Y 3.25
4 Y 0.2500 0.7500 0.5000  4 Mo 3.05, 4 Y 3.25, 4 Ag 3.25

=====

# 4
Computed, not measured: YAg4Mo after structural relaxation at the PBE level of DFT.

The final energy is -4.482 eV/atom. For the volume, the calculation gives 120.7 Å³/cell. The space group is F-43m. The value obtained for the magnetization is 3.7 Bohr magnetons per cell. For the formation energy from the elements, the calculation gives 29.1 kJ/mol of atoms.

abc: 5.5469 5.5469 5.5469
angles: 60.00 60.00 60.00
With the nearest neighbours (Å) after each atom.
Fractional coordinates of all 6 atoms:
1 Y 0.0000 0.0000 0.0000  12 Ag 3.25, 4 Mo 3.40
2 Ag 0.6247 0.1259 0.6247  6 Ag 2.77-2.78
3 Ag 0.1259 0.6247 0.6247  6 Ag 2.77-2.78
4 Ag 0.6247 0.6247 0.6247  6 Ag 2.77-2.78
5 Ag 0.6247 0.6247 0.1259  6 Ag 2.77-2.78
6 Mo 0.2500 0.2500 0.2500  12 Ag 3.25, 4 Y 3.40

=====

# 5
Computed, not measured: Y2AgMo after structural relaxation at the PBE level of DFT.

The final energy is -6.421 eV/atom. For the volume, the calculation gives 93.1 Å³/cell. The space group is Imm2. The value obtained for the magnetization is 0.0 Bohr magnetons per cell. For the energy above the most stable polymorph in this dataset, the calculation gives 160 meV per atom. For the formation energy from the elements, the calculation gives 22.4 kJ/mol of atoms.

abc: 6.3103 6.3103 6.3103
angles: 149.78 132.14 57.66
With the nearest neighbours (Å) after each atom.
Fractional coordinates of all 4 atoms:
1 Ag 0.4730 0.4730 0.0000  2 Mo 2.81, 4 Y 3.10
2 Mo 0.2667 0.7667 0.5000  2 Ag 2.81, 6 Y 3.06-3.12
3 Y 0.0269 0.0269 0.0000  4 Ag 3.10, 2 Mo 3.12, 4 Y 3.29-3.43
4 Y 0.7334 0.2334 0.5000  4 Mo 3.06, 4 Y 3.29-3.43, 2 Ag 3.32

=====

# 6
Computed, not measured: YAgMo4 after structural relaxation at the PBE level of DFT.

The final energy is -8.409 eV/atom. For the volume, the calculation gives 111.7 Å³/cell. The space group is F-43m. The value obtained for the magnetization is 0.0 Bohr magnetons per cell. For the formation energy from the elements, the calculation gives 35.1 kJ/mol of atoms.

abc: 5.4053 5.4053 5.4053
angles: 60.00 60.00 60.00
With the nearest neighbours (Å) after each atom.
Fractional coordinates of all 6 atoms:
1 Y 0.7500 0.7500 0.7500  12 Mo 3.17, 4 Ag 3.31
2 Ag 0.0000 0.0000 0.0000  12 Mo 3.17, 4 Y 3.31
3 Mo 0.8753 0.3749 0.3749  6 Mo 2.70-2.71
4 Mo 0.3749 0.3749 0.8753  6 Mo 2.70-2.71
5 Mo 0.3749 0.8753 0.3749  6 Mo 2.70-2.71
6 Mo 0.3749 0.3749 0.3749  6 Mo 2.70-2.71